(1)
CaCoRu2 | SCAN | single point on PBEsol structure

Properties
* symmetry: Pm (6)
* VASP energy: -94.7 eV per cell
* polymorph energy (0 for the lowest one): 0.0 meV per atom
* energy of formation from the pure elements: 0.478 eV/atom

abc: 2.745 4.144 5.570
angles: 90.00 104.18 90.00
Fractional positions:
Ru  0.194  0.000  0.014
Ru  0.772  0.500  0.170
Co  0.082  0.500  0.788
Ca  0.452  0.000  0.527

(2)
CaCo2RuS | SCAN | single point on PBEsol structure

Properties
* symmetry: P4/mmm (123)
* VASP energy: -79.7 eV per cell
* E_form (uncorrected): 1.803 eV/atom

abc: 4.269 4.269 4.784
angles: 90.00 90.00 90.00
Site moments in Bohr magnetons follow the coordinates.
Fractional positions:
Ca  0.000  0.000  0.000  -0.07
Co  0.500  0.000  0.000  1.64
Co  0.000  0.500  0.000  1.64
Ru  0.500  0.500  0.500  2.23
S  0.000  0.000  0.500  0.04

(3)
CaCo4S8 | SCAN | single point on PBEsol structure

Properties
* symmetry: R-3m (166)
* VASP energy: -164.8 eV per cell
* E_form (uncorrected): -0.683 eV/atom

abc: 6.579 6.579 7.359
angles: 63.45 63.45 60.00
Fractional positions:
S  0.773  0.270  0.183
S  0.730  0.227  0.817
S  0.271  0.271  0.187
S  0.729  0.729  0.813
S  0.773  0.773  0.183
S  0.227  0.227  0.817
S  0.270  0.773  0.183
S  0.227  0.730  0.817
Co  0.500  0.500  0.000
Co  0.500  0.000  0.000
Co  0.000  0.000  0.000
Co  0.000  0.500  0.000
Ca  0.500  0.500  0.500

(4)
CaCoSb2 | SCAN | single point on PBEsol structure

Properties
* symmetry: I-42d (122)
* VASP energy: -204.8 eV per cell
* E_form (uncorrected): -0.233 eV/atom

abc: 6.121 6.267 6.267
angles: 76.20 60.76 60.76
Fractional positions:
Ca  0.500  0.000  0.000
Ca  0.250  0.500  0.500
Sb  0.875  0.421  0.079
Sb  0.704  0.921  0.421
Sb  0.046  0.079  0.579
Sb  0.375  0.579  0.921
Co  0.750  0.500  0.500
Co  0.000  0.000  0.000

(5)
Ca3CoSb | SCAN | single point on PBEsol structure

Properties
* symmetry: Pm-3m (221)
* VASP energy: -82.7 eV per cell
* E_form (uncorrected): 0.173 eV/atom

abc: 5.779 5.779 5.779
angles: 90.00 90.00 90.00
Site moments in Bohr magnetons follow the coordinates.
Fractional positions:
Co  0.500  0.500  0.500  2.01
Ca  0.500  0.000  0.000  -0.08
Ca  0.000  0.500  0.000  -0.08
Ca  0.000  0.000  0.500  -0.08
Sb  0.000  0.000  0.000  -0.04

(6)
CaCo2Sb | SCAN | single point on PBEsol structure

Properties
* symmetry: F-43m (216)
* VASP energy: -80.7 eV per cell
* E_form (uncorrected): 0.204 eV/atom

abc: 4.566 4.566 4.566
angles: 60.00 60.00 60.00
Site moments in Bohr magnetons follow the coordinates.
Fractional positions:
Co  0.000  0.000  0.000  1.66
Co  0.750  0.750  0.750  1.93
Ca  0.500  0.500  0.500  -0.04
Sb  0.250  0.250  0.250  0.03

(7)
CaCo2Sb2 | SCAN | single point on PBEsol structure

Properties
* symmetry: I4/mmm (139)
* VASP energy: -120.4 eV per cell
* E_form (uncorrected): -0.315 eV/atom

abc: 4.232 4.232 6.192
angles: 109.98 109.98 90.00
Site moments in Bohr magnetons follow the coordinates.
Fractional positions:
Co  0.250  0.750  0.500  0.85
Co  0.750  0.250  0.500  0.85
Ca  0.000  0.000  0.000  0.00
Sb  0.365  0.365  0.729  -0.01
Sb  0.635  0.635  0.271  -0.01

(8)
Ca2CoSb | SCAN | single point on PBEsol structure

Properties
* symmetry: I-4m2 (119)
* VASP energy: -74.0 eV per cell
* E_form (uncorrected): -0.025 eV/atom

abc: 4.831 4.831 4.831
angles: 89.88 60.07 119.93
Fractional positions:
Ca  0.000  0.000  0.000
Ca  0.500  0.250  0.250
Sb  0.500  0.750  0.750
Co  0.000  0.500  0.500

(9)
CaCoSb2 | SCAN | single point on PBEsol structure

Properties
* symmetry: Fm-3m (225)
* VASP energy: -101.5 eV per cell
* E_form (uncorrected): -0.011 eV/atom

abc: 4.917 4.917 4.917
angles: 60.00 60.00 60.00
Site moments in Bohr magnetons follow the coordinates.
Fractional positions:
Sb  0.750  0.750  0.750  -0.03
Sb  0.250  0.250  0.250  -0.03
Co  0.500  0.500  0.500  1.89
Ca  0.000  0.000  0.000  0.01

(10)
Ca2CoSb | SCAN | single point on PBEsol structure

Properties
* symmetry: Amm2 (38)
* VASP energy: -75.4 eV per cell
* E_form (uncorrected): -0.377 eV/atom

abc: 4.223 4.413 5.855
angles: 112.14 90.00 90.00
Site moments in Bohr magnetons follow the coordinates.
Fractional positions:
Ca  0.500  0.268  0.536  -0.02
Ca  0.000  0.981  0.961  -0.01
Co  0.000  0.687  0.374  1.71
Sb  0.500  0.565  0.131  0.01

(11)
CaCo4Sb | SCAN | single point on PBEsol structure

Properties
* symmetry: F-43m (216)
* VASP energy: -115.6 eV per cell
* E_form (uncorrected): 0.094 eV/atom

abc: 4.935 4.935 4.935
angles: 60.00 60.00 60.00
Site moments in Bohr magnetons follow the coordinates.
Fractional positions:
Ca  0.000  0.000  0.000  -0.12
Co  0.375  0.874  0.375  1.82
Co  0.375  0.375  0.375  1.82
Co  0.874  0.375  0.375  1.82
Co  0.375  0.375  0.874  1.82
Sb  0.750  0.750  0.750  0.08

(12)
CaCoSb2 | SCAN | single point on PBEsol structure

Properties
* symmetry: P4/mmm (123)
* VASP energy: -101.7 eV per cell
* E_form (uncorrected): -0.057 eV/atom

abc: 4.099 4.533 4.533
angles: 90.00 90.00 90.00
Site moments in Bohr magnetons follow the coordinates.
Fractional positions:
Sb  0.000  0.000  0.500  0.01
Sb  0.000  0.500  0.000  0.01
Ca  0.500  0.500  0.500  0.01
Co  0.500  0.000  0.000  1.99